Crystalline HgRuPt2 at its relaxed geometry. Source: Alexandria via LeMat-Bulk, functional PBE.

a b c (Å): 2.8227 2.8227 9.7379
angles (deg): 90.00 90.00 120.21
Fractional coordinates of all 4 atoms:
Hg: 0.0000 0.0000 0.0000
Ru: 0.5000 0.5000 0.2579
Pt: 0.0000 0.0000 0.4898
Pt: 0.5000 0.5000 0.7375

## Properties
Calculated formation energy (eV/atom): 0.33